Computed, not measured: Re2TcW after structural relaxation at the PBE-GGA level of DFT.

a b c (Å): 5.193 5.193 5.193
angles (deg): 145.09 129.35 62.99
Element x y z (fractional)
Re 0.246 0.746 0.500
Re 0.989 0.989 0.000
W 0.753 0.253 0.500
Tc 0.512 0.512 0.000

Values from the calculation:
- Energy of formation from the pure elements: 0.166 eV/atom
- Calculated density: 17.7 g/cm3

***

Computed, not measured: Re6Tc12W after structural relaxation at the PBE-GGA level of DFT.

a b c (Å): 6.785 6.785 6.785
angles (deg): 100.25 100.25 100.25
Element x y z (fractional)
Tc 0.098 0.350 0.350
Tc 0.500 0.752 0.248
Tc 0.500 0.248 0.752
Tc 0.248 0.752 0.500
Tc 0.650 0.650 0.902
Tc 0.650 0.902 0.650
Tc 0.752 0.248 0.500
Tc 0.902 0.650 0.650
Tc 0.752 0.500 0.248
Tc 0.350 0.350 0.098
Tc 0.350 0.098 0.350
Tc 0.248 0.500 0.752
Re 0.102 0.102 0.668
Re 0.898 0.332 0.898
Re 0.332 0.898 0.898
Re 0.898 0.898 0.332
Re 0.668 0.102 0.102
Re 0.102 0.668 0.102
W 0.000 0.000 0.000

Values from the calculation:
- Energy of formation from the pure elements: 0.244 eV/atom
- Calculated density: 13.9 g/cm3

***

Computed, not measured: Re2TcW after structural relaxation at the PBE-GGA level of DFT.

a b c (Å): 2.780 3.934 5.576
angles (deg): 90.00 90.00 90.00
Element x y z (fractional)
Re 0.500 0.500 0.250
Re 0.000 0.000 0.007
Tc 0.000 0.000 0.495
W 0.500 0.500 0.748

Values from the calculation:
- Energy of formation from the pure elements: 0.120 eV/atom
- Calculated density: 17.8 g/cm3

***

Computed, not measured: Re6Tc2W after structural relaxation at the PBE-GGA level of DFT.

a b c (Å): 2.769 8.326 11.773
angles (deg): 90.00 90.00 90.00
Element x y z (fractional)
Tc 0.000 0.000 0.167
Tc 0.000 0.000 0.833
Tc 0.500 0.500 0.333
Tc 0.500 0.500 0.667
Re 0.500 0.169 0.330
Re 0.000 0.669 0.830
Re 0.500 0.169 0.670
Re 0.000 0.336 0.500
Re 0.000 0.669 0.170
Re 0.000 0.331 0.170
Re 0.500 0.831 0.670
Re 0.500 0.164 0.000
Re 0.500 0.836 0.000
Re 0.000 0.331 0.830
Re 0.500 0.831 0.330
Re 0.000 0.664 0.500
W 0.500 0.500 0.000
W 0.000 0.000 0.500

Values from the calculation:
- Energy of formation from the pure elements: 0.086 eV/atom
- Calculated density: 18.3 g/cm3

***

Computed, not measured: Re2TcW after structural relaxation at the PBE-GGA level of DFT.

a b c (Å): 5.204 5.204 5.204
angles (deg): 145.10 129.70 62.68
Element x y z (fractional)
Tc 0.250 0.750 0.500
Re 0.513 0.513 0.000
Re 0.987 0.987 0.000
W 0.750 0.250 0.500

Values from the calculation:
- Energy of formation from the pure elements: 0.158 eV/atom
- Calculated density: 17.7 g/cm3

***

Computed, not measured: Re2TcW after structural relaxation at the PBE-GGA level of DFT.

a b c (Å): 3.947 3.930 3.930
angles (deg): 90.00 90.00 90.00
Element x y z (fractional)
Tc 0.500 0.500 0.000
W 0.500 0.000 0.500
Re 0.000 0.500 0.500
Re 0.000 0.000 0.000

Values from the calculation:
- Energy of formation from the pure elements: 0.114 eV/atom
- Calculated density: 17.8 g/cm3

***

Among the records above, which one has the highest energy of formation from the pure elements? Re6Tc12W

***

Which of these has the highest calculated density? Re6Tc2W

***

Number 1 is which compound? Re2TcW

***

What is the calculated density in the second record? 13.9 g/cm3